A relaxed structure of Cr3GeF, computed with GGA+U.

Computed properties:
Raw total energy ... -5.492 eV per atom
Total moment ... 13.0 Bohr magnetons per cell
E above lowest polymorph ... 388 meV/atom
Volume ... 23.9 Å³ per atom

Lattice parameters (Å, degrees): 4.927 4.927 4.927 90.00 90.00 90.00
Space group Pm-3m (No. 221)
One atom of each set of equivalent atoms:
Cr 0.000 0.000 0.500
Ge 0.000 0.000 0.000
F 0.500 0.500 0.500